# 1
CdAsIrSe2 PBE-GGA relaxed; formation energy (no corrections) = 1.56 eV/atom; E above lowest polymorph = 1.172 eV/atom; DOS at the Fermi energy = 5.6 states/eV per cell; ρ = 7.0 g/cm3
1.0
5.069 0.000 0.000
0.000 5.069 0.000
0.000 0.000 4.990
Cd As Ir Se
1 1 1 2
Direct
0.000 0.000 0.000 Cd
0.000 0.000 0.500 As
0.500 0.500 0.500 Ir
0.000 0.500 0.000 Se
0.500 0.000 0.000 Se



# 2
Sc2TaAg PBE-GGA relaxed; E above lowest polymorph = 0.000 eV/atom; DOS at the Fermi energy = 5.2 states/eV per cell; formation enthalpy at 0 K = -0.053 eV per atom; ρ = 7.8 g/cm3
1.0
3.118 0.000 0.000
0.000 3.118 0.000
0.000 0.000 8.301
Sc Ta Ag
2 1 1
Direct
0.000 0.000 0.247 Sc
0.000 0.000 0.753 Sc
0.500 0.500 0.500 Ta
0.500 0.500 0.000 Ag



# 3
HfScSbTe2 PBE-GGA relaxed; formation energy (no corrections) = 0.01 eV/atom; E above lowest polymorph = 0.000 eV/atom; DOS at the Fermi energy = 4.8 states/eV per cell; ρ = 6.0 g/cm3
1.0
5.483 0.000 0.000
0.000 5.483 0.000
0.000 0.000 5.561
Hf Sc Sb Te
1 1 1 2
Direct
0.000 0.000 0.000 Hf
0.500 0.500 0.500 Sc
0.000 0.000 0.500 Sb
0.000 0.500 0.000 Te
0.500 0.000 0.000 Te